Record 1
A geometry-optimized ZnSbRh3 structure, computed with PBE.

**Formation energy (no corrections)**: 0.8278 eV/atom
**Offset from the most stable computed form**: 761.1 meV per atom

Unit cell a=4.8026 b=4.8026 c=4.8026 alpha=90.00 beta=90.00 gamma=90.00
With the nearest neighbours (Å) after each atom.
Fractional coordinates of all 5 atoms:
Sb 0.0000 0.0000 0.0000  6 Rh 2.40
Zn 0.5000 0.5000 0.5000  12 Rh 3.40
Rh 0.0000 0.5000 0.0000  2 Sb 2.40
Rh 0.0000 0.0000 0.5000  2 Sb 2.40
Rh 0.5000 0.0000 0.0000  2 Sb 2.40

Record 2
A geometry-optimized ZrSc2Tl structure, computed with PBE.

**Offset from the most stable computed form**: 0.0 meV per atom
**Energy of formation from the pure elements**: -0.7 eV per formula unit

Unit cell a=3.3340 b=3.3340 c=8.4604 alpha=90.00 beta=90.00 gamma=89.96
With the nearest neighbours (Å) after each atom.
Fractional coordinates of all 4 atoms:
Sc 0.0000 0.0000 0.0019  4 Tl 3.16, 4 Zr 3.18, 4 Sc 3.33
Sc 0.0000 0.0000 0.4981  4 Tl 3.16, 4 Zr 3.18, 4 Sc 3.33
Tl 0.5000 0.5000 0.2500  8 Sc 3.16, 4 Tl 3.33
Zr 0.5000 0.5000 0.7500  8 Sc 3.18, 4 Zr 3.33

Record 3
A geometry-optimized RbTaCr2B structure, computed with PBE.

**Energy of formation from the pure elements**: 15.6 eV per formula unit

Unit cell a=4.7372 b=4.3906 c=4.7372 alpha=90.00 beta=90.00 gamma=90.00
With the nearest neighbours (Å) after each atom.
Fractional coordinates of all 5 atoms:
Cr 0.0000 0.0000 0.5000  2 Rb 2.37
Cr 0.5000 0.0000 0.0000  2 Rb 2.37
B 0.0000 0.5000 0.0000  2 Rb 2.20
Rb 0.0000 0.0000 0.0000  2 B 2.20, 4 Cr 2.37
Ta 0.5000 0.5000 0.5000  8 Cr 3.23, 4 B 3.35

Record 4
A geometry-optimized CdGa2Ag6 structure, computed with PBE.

**Offset from the most stable computed form**: 0.0 meV per atom
**Energy of formation from the pure elements**: 0.0 eV per formula unit

Unit cell a=5.1374 b=8.1766 c=8.1766 alpha=72.99 beta=85.13 gamma=85.13
With the nearest neighbours (Å) after each atom.
Fractional coordinates of all 18 atoms:
Cd 0.2500 0.1099 0.8901  10 Ag 2.89-3.14
Cd 0.7500 0.8901 0.1099  10 Ag 2.89-3.14
Ga 0.4064 0.5494 0.7791  8 Ag 2.76-2.87
Ga 0.0936 0.2209 0.4506  8 Ag 2.76-2.87
Ga 0.5936 0.4506 0.2209  8 Ag 2.76-2.87
Ga 0.9064 0.7791 0.5494  8 Ag 2.76-2.87
Ag 0.4847 0.6794 0.4229  3 Ga 2.76-2.83, 5 Ag 2.82-2.94, 1 Cd 2.93
Ag 0.0153 0.5771 0.3206  3 Ga 2.76-2.83, 5 Ag 2.82-2.94, 1 Cd 2.93
Ag 0.5153 0.3206 0.5771  3 Ga 2.76-2.83, 5 Ag 2.82-2.94, 1 Cd 2.93
Ag 0.9847 0.4229 0.6794  3 Ga 2.76-2.83, 5 Ag 2.82-2.94, 1 Cd 2.93
Ag 0.6590 0.0971 0.3562  4 Ga 2.78-3.10, 5 Ag 2.88-2.95, 1 Cd 2.97
Ag 0.8410 0.6438 0.9029  4 Ga 2.78-3.10, 5 Ag 2.88-2.95, 1 Cd 2.97
Ag 0.3410 0.9029 0.6438  4 Ga 2.78-3.10, 5 Ag 2.88-2.95, 1 Cd 2.97
Ag 0.1590 0.3562 0.0971  4 Ga 2.78-3.10, 5 Ag 2.88-2.95, 1 Cd 2.97
Ag 0.3086 0.7402 0.0171  2 Ga 2.82-2.84, 4 Ag 2.82-2.95, 3 Cd 2.89-3.14
Ag 0.1914 0.9829 0.2598  2 Ga 2.82-2.84, 4 Ag 2.82-2.95, 3 Cd 2.89-3.14
Ag 0.6914 0.2598 0.9829  2 Ga 2.82-2.84, 4 Ag 2.82-2.95, 3 Cd 2.89-3.14
Ag 0.8086 0.0171 0.7402  2 Ga 2.82-2.84, 4 Ag 2.82-2.95, 3 Cd 2.89-3.14

Record 5
A geometry-optimized Cd8Ga2Ag structure, computed with PBE.

**Offset from the most stable computed form**: 0.0 meV per atom
**Energy of formation from the pure elements**: 0.3 eV per formula unit

Unit cell a=4.8788 b=5.5838 c=9.5579 alpha=105.01 beta=104.79 gamma=90.00
With the nearest neighbours (Å) after each atom.
Fractional coordinates of all 11 atoms:
Ag 0.5000 0.0000 0.0000  10 Cd 2.88-3.16
Ga 0.7504 0.6675 0.5009  7 Cd 2.96-3.11, 2 Ga 3.07
Ga 0.2496 0.3325 0.4991  7 Cd 2.96-3.11, 2 Ga 3.07
Cd 0.4193 0.4239 0.8387  7 Cd 2.87-3.21, 1 Ga 3.04, 2 Ag 3.12-3.16
Cd 0.6630 0.1374 0.3260  1 Ag 2.90, 3 Ga 2.96-2.97, 5 Cd 3.10-3.21
Cd 0.8371 0.2059 0.6742  6 Cd 2.96-3.14, 3 Ga 3.00-3.11
Cd 0.9420 0.7471 0.8840  2 Ag 2.88, 4 Cd 3.00-3.12
Cd 0.1629 0.7941 0.3258  6 Cd 2.96-3.14, 3 Ga 3.00-3.11
Cd 0.3370 0.8626 0.6740  1 Ag 2.90, 3 Ga 2.96-2.97, 5 Cd 3.10-3.21
Cd 0.5807 0.5761 0.1613  7 Cd 2.87-3.21, 1 Ga 3.04, 2 Ag 3.12-3.16
Cd 0.0580 0.2529 0.1160  2 Ag 2.88, 4 Cd 3.00-3.12

Record 6
A geometry-optimized Ba4NaIr3O12 structure, computed with PBE.

**Formation energy (no corrections)**: -1.6124 eV/atom

Unit cell a=7.1742 b=7.1742 c=7.1742 alpha=109.47 beta=109.47 gamma=109.47
With the nearest neighbours (Å) after each atom.
Fractional coordinates of all 20 atoms:
Ba 0.0000 0.5000 0.0000  12 O 2.93
Ba 0.5000 0.5000 0.5000  12 O 2.93
Ba 0.0000 0.0000 0.5000  12 O 2.93
Ba 0.5000 0.0000 0.0000  12 O 2.93
Na 0.0000 0.0000 0.0000  6 O 2.24
Ir 0.5000 0.5000 0.0000  6 O 1.91-2.07
Ir 0.5000 0.0000 0.5000  6 O 1.91-2.07
Ir 0.0000 0.5000 0.5000  6 O 1.91-2.07
O 0.2500 0.7500 0.5000  2 Ir 2.07
O 0.7300 0.7300 0.0000  1 Ir 1.91
O 0.2700 0.2700 0.0000  1 Ir 1.91
O 0.7500 0.2500 0.5000  2 Ir 2.07
O 0.2700 0.0000 0.2700  1 Ir 1.91
O 0.7300 0.0000 0.7300  1 Ir 1.91
O 0.2500 0.5000 0.7500  2 Ir 2.07
O 0.7500 0.5000 0.2500  2 Ir 2.07
O 0.5000 0.7500 0.2500  2 Ir 2.07
O 0.0000 0.7300 0.7300  1 Ir 1.91
O 0.5000 0.2500 0.7500  2 Ir 2.07
O 0.0000 0.2700 0.2700  1 Ir 1.91

Record 7
A geometry-optimized SeN structure, computed with PBE.

**Formation energy (no corrections)**: 1.5985 eV/atom

Unit cell a=4.6982 b=4.6982 c=4.6982 alpha=90.00 beta=90.00 gamma=90.00
With the nearest neighbours (Å) after each atom.
Fractional coordinates of all 8 atoms:
Se 0.5000 0.5000 0.5000  6 N 2.35
Se 0.5000 0.0000 0.0000  6 N 2.35
Se 0.0000 0.5000 0.0000  6 N 2.35
Se 0.0000 0.0000 0.5000  6 N 2.35
N 0.0000 0.0000 0.0000  6 Se 2.35
N 0.0000 0.5000 0.5000  6 Se 2.35
N 0.5000 0.0000 0.5000  6 Se 2.35
N 0.5000 0.5000 0.0000  6 Se 2.35

Record 8
A geometry-optimized TbSbPd5 structure, computed with PBE.

**Formation energy (no corrections)**: -0.6948 eV/atom
**Offset from the most stable computed form**: 0.0 meV per atom

Unit cell a=4.1910 b=4.1910 c=7.3715 alpha=90.00 beta=90.00 gamma=90.00
With the nearest neighbours (Å) after each atom.
Fractional coordinates of all 7 atoms:
Tb 0.0000 0.0000 0.5000  12 Pd 2.93-2.96
Sb 0.5000 0.5000 0.0000  8 Pd 2.66
Pd 0.0000 0.5000 0.7770  2 Sb 2.66, 6 Pd 2.93-2.96, 2 Tb 2.93
Pd 0.0000 0.5000 0.2230  2 Sb 2.66, 6 Pd 2.93-2.96, 2 Tb 2.93
Pd 0.5000 0.0000 0.7770  2 Sb 2.66, 2 Tb 2.93, 6 Pd 2.93-2.96
Pd 0.5000 0.0000 0.2230  2 Sb 2.66, 2 Tb 2.93, 6 Pd 2.93-2.96
Pd 0.5000 0.5000 0.5000  8 Pd 2.93, 4 Tb 2.96

Short version: uncorrected energy = -23.31, -24.25, -23.11, -48.08, -15.90, -127.34, -34.45, -39.58 eV per cell, in the order given.